Entry 1:
# Er2TmWC3 | OQMD | PBE | relaxed
data_Er2TmWC3
_symmetry_space_group_name_H-M 'C 1 m 1'
_symmetry_Int_Tables_number 8
_symmetry_space_group_name_Hall 'C -2y'
_cell_length_a 11.480
_cell_length_b 3.461
_cell_length_c 5.779
_cell_angle_alpha 90.00
_cell_angle_beta 104.09
_cell_angle_gamma 90.00
loop_
_atom_site_label
_atom_site_type_symbol
_atom_site_fract_x
_atom_site_fract_y
_atom_site_fract_z
_atom_site_occupancy
Er1 Er 0.000 0.000 0.000 1
Er2 Er 0.236 0.000 0.714 1
Tm1 Tm 0.253 0.500 0.208 1
W1 W 0.473 0.000 0.505 1
C1 C 0.112 0.500 0.821 1
C2 C 0.377 0.000 0.138 1
C3 C 0.388 0.500 0.593 1
# Total moment, μB per formula unit: 0.00
# Uncorrected energy, Ha/atom: -0.2956

Entry 2:
# ScGeOs | OQMD | PBE | relaxed
data_ScGeOs
_symmetry_space_group_name_H-M 'P -6 2 m'
_symmetry_Int_Tables_number 189
_symmetry_space_group_name_Hall 'P -6 -2'
_cell_length_a 6.9982
_cell_length_b 6.9982
_cell_length_c 3.4568
_cell_angle_alpha 90.00
_cell_angle_beta 90.00
_cell_angle_gamma 120.00
loop_
_atom_site_label
_atom_site_type_symbol
_atom_site_fract_x
_atom_site_fract_y
_atom_site_fract_z
_atom_site_occupancy
Sc1 Sc 0.0000 0.5987 0.0000 1
Ge1 Ge 0.0000 0.0000 0.0000 1
Ge2 Ge 0.3333 0.6667 0.5000 1
Os1 Os 0.0000 0.2564 0.5000 1
# Total moment, μB per formula unit: 0.00
# Uncorrected energy, Ha/atom: -0.2948

Entry 3:
# Zr3Te | OQMD | PBE | relaxed
data_Zr3Te
_symmetry_space_group_name_H-M 'I -4'
_symmetry_Int_Tables_number 82
_symmetry_space_group_name_Hall 'I -4'
_cell_length_a 11.389
_cell_length_b 11.389
_cell_length_c 5.669
_cell_angle_alpha 90.00
_cell_angle_beta 90.00
_cell_angle_gamma 90.00
loop_
_atom_site_label
_atom_site_type_symbol
_atom_site_fract_x
_atom_site_fract_y
_atom_site_fract_z
_atom_site_occupancy
Zr1 Zr 0.019 0.142 0.229 1
Zr2 Zr 0.082 0.603 0.039 1
Zr3 Zr 0.187 0.717 0.486 1
Te1 Te 0.032 0.212 0.727 1
# Total moment, μB per formula unit: 0.01
# Uncorrected energy, Ha/atom: -0.2829

Entry 4:
# Cu5Ag4 | OQMD | PBE | relaxed
data_Cu5Ag4
_symmetry_space_group_name_H-M 'I m m m'
_symmetry_Int_Tables_number 71
_symmetry_space_group_name_Hall '-I 2 2'
_cell_length_a 2.808
_cell_length_b 8.377
_cell_length_c 11.184
_cell_angle_alpha 90.00
_cell_angle_beta 90.00
_cell_angle_gamma 90.00
loop_
_atom_site_label
_atom_site_type_symbol
_atom_site_fract_x
_atom_site_fract_y
_atom_site_fract_z
_atom_site_occupancy
Cu1 Cu 0.000 0.000 0.000 1
Cu2 Cu 0.000 0.000 0.342 1
Cu3 Cu 0.000 0.350 0.000 1
Ag1 Ag 0.000 0.331 0.341 1
# Relative energy among the computed polymorphs, eV/atom: 0.053
# Formation energy, eV per atom: 0.09

Entry 5:
# Ba2NdMg3Tl2Cd | OQMD | PBE | relaxed
data_Ba2NdMg3Tl2Cd
_symmetry_space_group_name_H-M 'A m m 2'
_symmetry_Int_Tables_number 38
_symmetry_space_group_name_Hall 'A 2 -2'
_cell_length_a 4.988
_cell_length_b 14.257
_cell_length_c 8.044
_cell_angle_alpha 90.00
_cell_angle_beta 90.00
_cell_angle_gamma 90.00
loop_
_atom_site_label
_atom_site_type_symbol
_atom_site_fract_x
_atom_site_fract_y
_atom_site_fract_z
_atom_site_occupancy
Ba1 Ba 0.000 0.211 0.000 1
Nd1 Nd 0.000 0.000 0.634 1
Mg1 Mg 0.500 0.000 0.981 1
Mg2 Mg 0.500 0.111 0.332 1
Tl1 Tl 0.500 0.149 0.703 1
Cd1 Cd 0.000 0.000 0.223 1
# Total moment, μB per formula unit: 0.02
# Uncorrected energy, Ha/atom: -0.0862

Entry 6:
# MgAgSeO | OQMD | PBE | relaxed
data_MgAgSeO
_symmetry_space_group_name_H-M 'P b c a'
_symmetry_Int_Tables_number 61
_symmetry_space_group_name_Hall '-P 2ac 2ab'
_cell_length_a 5.853
_cell_length_b 14.812
_cell_length_c 6.561
_cell_angle_alpha 90.00
_cell_angle_beta 90.00
_cell_angle_gamma 90.00
loop_
_atom_site_label
_atom_site_type_symbol
_atom_site_fract_x
_atom_site_fract_y
_atom_site_fract_z
_atom_site_occupancy
Mg1 Mg 0.061 0.222 0.139 1
Ag1 Ag 0.237 0.094 0.583 1
Se1 Se 0.006 0.039 0.245 1
O1 O 0.232 0.246 0.392 1
# Relative energy among the computed polymorphs, eV/atom: 0.107

Entry 7:
# Pr6GeTe5 | OQMD | PBE | relaxed
data_Pr6GeTe5
_symmetry_space_group_name_H-M 'C 1 2/m 1'
_symmetry_Int_Tables_number 12
_symmetry_space_group_name_Hall '-C 2y'
_cell_length_a 7.813
_cell_length_b 13.505
_cell_length_c 7.829
_cell_angle_alpha 90.00
_cell_angle_beta 109.35
_cell_angle_gamma 90.00
loop_
_atom_site_label
_atom_site_type_symbol
_atom_site_fract_x
_atom_site_fract_y
_atom_site_fract_z
_atom_site_occupancy
Pr1 Pr 0.231 0.000 0.262 1
Pr2 Pr 0.233 0.156 0.734 1
Ge1 Ge 0.000 0.000 0.500 1
Te1 Te 0.000 0.173 0.000 1
Te2 Te 0.000 0.335 0.500 1
Te3 Te 0.000 0.500 0.000 1
# Total moment, μB per formula unit: 0.00
# Uncorrected energy, Ha/atom: -0.2019

Entry 8:
# NdAlZn2Ga | OQMD | PBE | relaxed
data_NdAlZn2Ga
_symmetry_space_group_name_H-M 'I -4 m 2'
_symmetry_Int_Tables_number 119
_symmetry_space_group_name_Hall 'I -4 -2'
_cell_length_a 4.193
_cell_length_b 4.193
_cell_length_c 10.911
_cell_angle_alpha 90.00
_cell_angle_beta 90.00
_cell_angle_gamma 90.00
loop_
_atom_site_label
_atom_site_type_symbol
_atom_site_fract_x
_atom_site_fract_y
_atom_site_fract_z
_atom_site_occupancy
Nd1 Nd 0.000 0.000 0.000 1
Al1 Al 0.000 0.500 0.250 1
Zn1 Zn 0.000 0.000 0.388 1
Ga1 Ga 0.000 0.500 0.750 1
# Total moment, μB per formula unit: 0.01
# Uncorrected energy, Ha/atom: -0.1200